! BaCr2OsO8 GGA+U relaxed; values from VASP
! - Total DFT energy (no corrections): -7.178 eV/atom
! - Total moment: 3.98 μB/cell
! - Mass density: 5.481 Mg/m³
&SYSTEM
  ibrav = 0, nat = 12, ntyp = 4
/
ATOMIC_SPECIES
O 16.00 O.upf
Os 190.23 Os.upf
Cr 52.00 Cr.upf
Ba 137.33 Ba.upf
ATOMIC_POSITIONS angstrom
O -7.318 -1.430 2.891
O -5.603 -2.091 -2.122
O -4.478 -1.935 1.740
Os 0.000 0.000 0.000
O -6.425 -2.633 0.512
O -4.797 -0.148 -0.407
Cr -5.998 -2.614 2.499
Ba -1.991 -1.024 2.756
Cr -4.905 -1.954 -0.248
O -5.300 -2.477 4.373
O -3.585 -3.138 -0.640
O -6.106 -4.420 2.658
CELL_PARAMETERS angstrom
-4.600 1.579 -1.400
-2.320 -4.098 -1.860
-3.982 -2.048 5.512